# 1
Compound: YGeF2
Source: the Alexandria database
Functional: PBE
Structure: relaxed

Unit cell a=4.4684 b=4.4684 c=4.4684 alpha=60.00 beta=60.00 gamma=60.00
Sites, in units of the cell vectors:
Y 0.5000 0.5000 0.5000
Ge 0.0000 0.0000 0.0000
F 0.2500 0.2500 0.2500
F 0.7500 0.7500 0.7500

***

# 2
Compound: Y2GeF
Source: the Alexandria database
Functional: PBE
Structure: relaxed

Unit cell a=5.7098 b=5.7098 c=7.4890 alpha=67.59 beta=67.59 gamma=90.00
Sites, in units of the cell vectors:
Y 0.5720 0.1250 0.2500
Y 0.1780 0.6250 0.2500
Y 0.3750 0.4280 0.7500
Y 0.8750 0.8220 0.7500
Ge 0.0000 0.0000 0.0000
Ge 0.7500 0.2500 0.5000
F 0.5000 0.5000 0.0000
F 0.2500 0.7500 0.5000

***

# 3
Compound: Y2GeF
Source: the Alexandria database
Functional: PBE
Structure: relaxed

Unit cell a=4.8963 b=4.8963 c=4.8963 alpha=60.00 beta=60.00 gamma=60.00
Sites, in units of the cell vectors:
Y 0.2500 0.2500 0.2500
Y 0.7500 0.7500 0.7500
Ge 0.5000 0.5000 0.5000
F 0.0000 0.0000 0.0000

***

# 4
Compound: Y2GeF
Source: the Alexandria database
Functional: PBE
Structure: relaxed

Unit cell a=4.3760 b=4.3760 c=7.5841 alpha=73.23 beta=73.23 gamma=60.00
Sites, in units of the cell vectors:
Y 0.1028 0.1028 0.6916
Y 0.8972 0.8972 0.3084
Ge 0.5000 0.5000 0.5000
F 0.0000 0.0000 0.0000

***

# 5
Compound: YGe2F
Source: the Alexandria database
Functional: PBE
Structure: relaxed

Unit cell a=4.8215 b=4.8215 c=4.8215 alpha=60.00 beta=60.00 gamma=60.00
Sites, in units of the cell vectors:
Y 0.5000 0.5000 0.5000
Ge 0.2500 0.2500 0.2500
Ge 0.7500 0.7500 0.7500
F 0.0000 0.0000 0.0000

***

# 6
Compound: YGeF2
Source: the Alexandria database
Functional: PBE
Structure: relaxed

Unit cell a=5.5448 b=5.5448 c=5.5448 alpha=45.14 beta=45.14 gamma=45.14
Sites, in units of the cell vectors:
Y 0.0000 0.0000 0.0000
Ge 0.5000 0.5000 0.5000
F 0.8540 0.8540 0.8540
F 0.1460 0.1460 0.1460

***

Results for electronic total energy: -5.3449 -6.1771 -6.2423 -6.5327 -4.9152 -5.4177 (in eV/atom, following the order of the records).